# PBE-GGA Na3MgCl, optimized geometry
# E ... -1.96 eV/atom
# E_form (uncorrected) ... -231 kJ/mol of formula units
# Magnetic moment ... 0.000 Bohr magnetons per cell
# Space-group type ... Pm-3m
data_Na3MgCl
_space_group_name_H-M_alt 'P 1'
_space_group_IT_number 1
_space_group_name_Hall 'P 1'
_cell_length_a 5.456
_cell_length_b 5.456
_cell_length_c 5.456
_cell_angle_alpha 90.00
_cell_angle_beta 90.00
_cell_angle_gamma 90.00
loop_
_atom_site_label
_atom_site_fract_x
_atom_site_fract_y
_atom_site_fract_z
Na1 0.000 0.000 0.500
Na2 0.000 0.500 0.000
Na3 0.500 0.000 0.000
Mg1 0.500 0.500 0.500
Cl1 0.000 0.000 0.000

---

# PBE-GGA Tb3Si8Ir3, optimized geometry
# E ... -6.60 eV/atom
# E_form (uncorrected) ... -820 kJ/mol of formula units
# Magnetic moment ... 0.000 Bohr magnetons per cell
# Space-group type ... Immm
data_Tb3Si8Ir3
_space_group_name_H-M_alt 'P 1'
_space_group_IT_number 1
_space_group_name_Hall 'P 1'
_cell_length_a 7.787
_cell_length_b 7.787
_cell_length_c 7.787
_cell_angle_alpha 148.70
_cell_angle_beta 104.59
_cell_angle_gamma 83.89
loop_
_atom_site_label
_atom_site_fract_x
_atom_site_fract_y
_atom_site_fract_z
Tb1 0.000 0.000 0.000
Tb2 0.311 0.311 0.000
Tb3 0.689 0.689 0.000
Si1 0.039 0.667 0.371
Si2 0.161 0.873 0.288
Si3 0.296 0.667 0.629
Si4 0.415 0.127 0.288
Si5 0.585 0.873 0.712
Si6 0.704 0.333 0.371
Si7 0.839 0.127 0.712
Si8 0.961 0.333 0.629
Ir1 0.276 0.500 0.776
Ir2 0.500 0.000 0.500
Ir3 0.724 0.500 0.224

---

# PBE-GGA CsHg2GeAu, optimized geometry
# E ... -1.97 eV/atom
# Calculated formation energy ... -0.49 eV/f.u.
# Magnetic moment ... 0.000 Bohr magnetons per cell
# Space-group type ... P4/mmm
data_CsHg2GeAu
_space_group_name_H-M_alt 'P 1'
_space_group_IT_number 1
_space_group_name_Hall 'P 1'
_cell_length_a 5.798
_cell_length_b 5.798
_cell_length_c 4.983
_cell_angle_alpha 90.00
_cell_angle_beta 90.00
_cell_angle_gamma 90.00
loop_
_atom_site_label
_atom_site_fract_x
_atom_site_fract_y
_atom_site_fract_z
Cs1 0.000 0.000 0.000
Hg1 0.000 0.500 0.500
Hg2 0.500 0.000 0.500
Ge1 0.500 0.500 0.500
Au1 0.500 0.500 0.000

---

# PBE-GGA HfTe2Pd, optimized geometry
# E ... -5.66 eV/atom
# E_form (uncorrected) ... -116 kJ/mol of formula units
# Magnetic moment ... 0.000 Bohr magnetons per cell
# Space-group type ... Fm-3m
data_HfTe2Pd
_space_group_name_H-M_alt 'P 1'
_space_group_IT_number 1
_space_group_name_Hall 'P 1'
_cell_length_a 7.071
_cell_length_b 7.071
_cell_length_c 7.071
_cell_angle_alpha 90.00
_cell_angle_beta 90.00
_cell_angle_gamma 90.00
loop_
_atom_site_label
_atom_site_fract_x
_atom_site_fract_y
_atom_site_fract_z
Hf1 0.000 0.000 0.000
Hf2 0.000 0.500 0.500
Hf3 0.500 0.000 0.500
Hf4 0.500 0.500 0.000
Te1 0.250 0.250 0.250
Te2 0.250 0.250 0.750
Te3 0.250 0.750 0.250
Te4 0.250 0.750 0.750
Te5 0.750 0.250 0.250
Te6 0.750 0.250 0.750
Te7 0.750 0.750 0.250
Te8 0.750 0.750 0.750
Pd1 0.000 0.000 0.500
Pd2 0.000 0.500 0.000
Pd3 0.500 0.000 0.000
Pd4 0.500 0.500 0.500

---

# PBE-GGA Pm8Pr6Pb, optimized geometry
# E ... -4.65 eV/atom
# Calculated formation energy ... 0.66 eV/f.u.
# Magnetic moment ... 0.000 Bohr magnetons per cell
# Space-group type ... P-3
data_Pm8Pr6Pb
_space_group_name_H-M_alt 'P 1'
_space_group_IT_number 1
_space_group_name_Hall 'P 1'
_cell_length_a 9.509
_cell_length_b 9.509
_cell_length_c 6.730
_cell_angle_alpha 90.00
_cell_angle_beta 90.00
_cell_angle_gamma 120.00
loop_
_atom_site_label
_atom_site_fract_x
_atom_site_fract_y
_atom_site_fract_z
Pm1 0.039 0.267 0.178
Pm2 0.228 0.961 0.178
Pm3 0.267 0.228 0.822
Pm4 0.333 0.667 0.130
Pm5 0.667 0.333 0.870
Pm6 0.733 0.772 0.178
Pm7 0.772 0.039 0.822
Pm8 0.961 0.733 0.822
Pr1 0.090 0.443 0.669
Pr2 0.353 0.910 0.669
Pr3 0.443 0.353 0.331
Pr4 0.557 0.647 0.669
Pr5 0.647 0.090 0.331
Pr6 0.910 0.557 0.331
Pb1 0.000 0.000 0.500

---

# PBE-GGA NaHg2Au, optimized geometry
# E ... -1.52 eV/atom
# Calculated formation energy ... -0.86 eV/f.u.
# Magnetic moment ... 0.000 Bohr magnetons per cell
# Space-group type ... Cmcm
data_NaHg2Au
_space_group_name_H-M_alt 'P 1'
_space_group_IT_number 1
_space_group_name_Hall 'P 1'
_cell_length_a 4.505
_cell_length_b 10.880
_cell_length_c 7.961
_cell_angle_alpha 90.00
_cell_angle_beta 90.00
_cell_angle_gamma 90.00
loop_
_atom_site_label
_atom_site_fract_x
_atom_site_fract_y
_atom_site_fract_z
Na1 0.000 0.070 0.250
Na2 0.000 0.930 0.750
Na3 0.500 0.430 0.750
Na4 0.500 0.570 0.250
Hg1 0.000 0.370 0.052
Hg2 0.000 0.370 0.448
Hg3 0.000 0.630 0.552
Hg4 0.000 0.630 0.948
Hg5 0.500 0.130 0.552
Hg6 0.500 0.130 0.948
Hg7 0.500 0.870 0.052
Hg8 0.500 0.870 0.448
Au1 0.000 0.222 0.750
Au2 0.000 0.778 0.250
Au3 0.500 0.278 0.250
Au4 0.500 0.722 0.750

---

# PBE-GGA Cs2Pr2NpSe6, optimized geometry
# E ... -5.66 eV/atom
# E_form (uncorrected) ... -1657 kJ/mol of formula units
# Magnetic moment ... 3.000 Bohr magnetons per cell
# Space-group type ... C2/m
data_Cs2Pr2NpSe6
_space_group_name_H-M_alt 'P 1'
_space_group_IT_number 1
_space_group_name_Hall 'P 1'
_cell_length_a 7.478
_cell_length_b 7.478
_cell_length_c 8.955
_cell_angle_alpha 98.31
_cell_angle_beta 98.31
_cell_angle_gamma 119.71
loop_
_atom_site_label
_atom_site_fract_x
_atom_site_fract_y
_atom_site_fract_z
Cs1 0.171 0.829 0.000
Cs2 0.829 0.171 0.000
Pr1 0.334 0.666 0.500
Pr2 0.666 0.334 0.500
Np1 0.000 0.000 0.500
Se1 0.063 0.382 0.685
Se2 0.253 0.253 0.316
Se3 0.382 0.063 0.685
Se4 0.618 0.937 0.315
Se5 0.747 0.747 0.684
Se6 0.937 0.618 0.315

---

# PBE-GGA BaTa2In, optimized geometry
# E ... -6.51 eV/atom
# Calculated formation energy ... 2.34 eV/f.u.
# Magnetic moment ... 0.000 Bohr magnetons per cell
# Space-group type ... Cm
data_BaTa2In
_space_group_name_H-M_alt 'P 1'
_space_group_IT_number 1
_space_group_name_Hall 'P 1'
_cell_length_a 9.347
_cell_length_b 3.078
_cell_length_c 7.514
_cell_angle_alpha 90.00
_cell_angle_beta 94.91
_cell_angle_gamma 90.00
loop_
_atom_site_label
_atom_site_fract_x
_atom_site_fract_y
_atom_site_fract_z
Ba1 0.000 0.000 0.000
Ba2 0.500 0.500 0.000
Ta1 0.012 0.500 0.466
Ta2 0.276 0.500 0.329
Ta3 0.512 0.000 0.466
Ta4 0.776 0.000 0.329
In1 0.250 0.000 0.675
In2 0.750 0.500 0.675

---

# PBE-GGA Tb3Tm6Th2, optimized geometry
# E ... -4.84 eV/atom
# Calculated formation energy ... 2.33 eV/f.u.
# Magnetic moment ... 0.000 Bohr magnetons per cell
# Space-group type ... C2/m
data_Tb3Tm6Th2
_space_group_name_H-M_alt 'P 1'
_space_group_IT_number 1
_space_group_name_Hall 'P 1'
_cell_length_a 6.072
_cell_length_b 6.072
_cell_length_c 11.455
_cell_angle_alpha 95.14
_cell_angle_beta 95.14
_cell_angle_gamma 120.11
loop_
_atom_site_label
_atom_site_fract_x
_atom_site_fract_y
_atom_site_fract_z
Tb1 0.000 0.000 0.000
Tb2 0.335 0.665 0.000
Tb3 0.665 0.335 0.000
Tm1 0.085 0.418 0.254
Tm2 0.248 0.248 0.747
Tm3 0.418 0.085 0.254
Tm4 0.582 0.915 0.746
Tm5 0.752 0.752 0.253
Tm6 0.915 0.582 0.746
Th1 0.165 0.835 0.500
Th2 0.835 0.165 0.500

---

# PBE-GGA Pm4Y2Cd, optimized geometry
# E ... -4.66 eV/atom
# Calculated formation energy ... 0.21 eV/f.u.
# Magnetic moment ... 0.000 Bohr magnetons per cell
# Space-group type ... C2/m
data_Pm4Y2Cd
_space_group_name_H-M_alt 'P 1'
_space_group_IT_number 1
_space_group_name_Hall 'P 1'
_cell_length_a 16.798
_cell_length_b 3.549
_cell_length_c 8.663
_cell_angle_alpha 90.00
_cell_angle_beta 117.59
_cell_angle_gamma 90.00
loop_
_atom_site_label
_atom_site_fract_x
_atom_site_fract_y
_atom_site_fract_z
Pm1 0.082 0.000 0.203
Pm2 0.130 0.500 0.891
Pm3 0.370 0.000 0.109
Pm4 0.418 0.500 0.797
Pm5 0.582 0.500 0.203
Pm6 0.630 0.000 0.891
Pm7 0.870 0.500 0.109
Pm8 0.918 0.000 0.797
Y1 0.216 0.000 0.640
Y2 0.284 0.500 0.360
Y3 0.716 0.500 0.640
Y4 0.784 0.000 0.360
Cd1 0.000 0.000 0.500
Cd2 0.500 0.500 0.500

---

# PBE-GGA BeIn2Os, optimized geometry
# E ... -4.33 eV/atom
# Calculated formation energy ... 3.10 eV/f.u.
# Magnetic moment ... 0.000 Bohr magnetons per cell
# Space-group type ... Cmmm
data_BeIn2Os
_space_group_name_H-M_alt 'P 1'
_space_group_IT_number 1
_space_group_name_Hall 'P 1'
_cell_length_a 3.088
_cell_length_b 5.170
_cell_length_c 8.870
_cell_angle_alpha 90.00
_cell_angle_beta 90.00
_cell_angle_gamma 90.00
loop_
_atom_site_label
_atom_site_fract_x
_atom_site_fract_y
_atom_site_fract_z
Be1 0.000 0.000 0.000
Be2 0.500 0.500 0.000
In1 0.000 0.500 0.243
In2 0.000 0.500 0.757
In3 0.500 0.000 0.243
In4 0.500 0.000 0.757
Os1 0.000 0.000 0.500
Os2 0.500 0.500 0.500

---

# PBE-GGA AlPt2Br, optimized geometry
# E ... -4.33 eV/atom
# E_form (uncorrected) ... 18 kJ/mol of formula units
# Magnetic moment ... 0.000 Bohr magnetons per cell
# Space-group type ... I-42d
data_AlPt2Br
_space_group_name_H-M_alt 'P 1'
_space_group_IT_number 1
_space_group_name_Hall 'P 1'
_cell_length_a 4.184
_cell_length_b 4.184
_cell_length_c 17.170
_cell_angle_alpha 90.00
_cell_angle_beta 90.00
_cell_angle_gamma 90.00
loop_
_atom_site_label
_atom_site_fract_x
_atom_site_fract_y
_atom_site_fract_z
Al1 0.000 0.000 0.000
Al2 0.000 0.500 0.250
Al3 0.500 0.000 0.750
Al4 0.500 0.500 0.500
Pt1 0.225 0.250 0.125
Pt2 0.250 0.725 0.375
Pt3 0.250 0.775 0.875
Pt4 0.275 0.250 0.625
Pt5 0.725 0.750 0.625
Pt6 0.750 0.225 0.875
Pt7 0.750 0.275 0.375
Pt8 0.775 0.750 0.125
Br1 0.000 0.000 0.500
Br2 0.000 0.500 0.750
Br3 0.500 0.000 0.250
Br4 0.500 0.500 0.000

---

> Which value of E does entry 11 give?

-4.33 eV/atom

---

> Among the records above, which one has the lowest E?

Tb3Si8Ir3

---

> Which of these has the lowest E?

Tb3Si8Ir3